(1)
The following is a DFT calculation (SCAN) of a PBEsol-optimized structure of BeP2Au. Values from VASP.

The structure in Quantum ESPRESSO input format:
```
&SYSTEM
  ibrav = 0, nat = 4, ntyp = 3
/
ATOMIC_SPECIES
P 30.97 P.upf
Au 196.97 Au.upf
Be 9.01 Be.upf
CELL_PARAMETERS angstrom
3.104 0.000 0.000
0.000 3.819 0.016
0.000 -0.323 5.430
ATOMIC_POSITIONS crystal
P 0.000 0.908 0.079
P 0.500 0.645 0.822
Au 0.000 0.599 0.454
Be 0.500 0.348 0.144
```

Summary:
Space-group type: Pm, No. 6
V in Å³ per cell: 64.4
M_tot in μB/f.u.: 0.0
ΔH_f (0 K) in meV per atom: 126
E_tot in eV/atom: -23.451

=====

(2)
The following is a DFT calculation (SCAN) of a PBEsol-optimized structure of BePAu3. Values from VASP.

The structure in Quantum ESPRESSO input format:
```
&SYSTEM
  ibrav = 0, nat = 5, ntyp = 3
/
ATOMIC_SPECIES
Au 196.97 Au.upf
P 30.97 P.upf
Be 9.01 Be.upf
CELL_PARAMETERS angstrom
-4.266 -0.186 0.866
0.487 -4.050 1.531
0.739 1.595 3.987
ATOMIC_POSITIONS crystal
Au 0.500 0.000 0.000
Au 0.000 0.500 0.000
Au 0.000 0.000 0.500
P 0.500 0.500 0.500
Be 0.000 0.000 0.000
```

Summary:
Space-group type: Pm-3m, No. 221
V in Å³ per cell: 82.7
M_tot in μB/f.u.: 0.0
ΔH_f (0 K) in meV per atom: 479
E_tot in eV/atom: -43.965

=====

(3)
The following is a DFT calculation (SCAN) of a PBEsol-optimized structure of BeP2Au. Values from VASP.

The structure in Quantum ESPRESSO input format:
```
&SYSTEM
  ibrav = 0, nat = 4, ntyp = 3
/
ATOMIC_SPECIES
P 30.97 P.upf
Au 196.97 Au.upf
Be 9.01 Be.upf
CELL_PARAMETERS angstrom
-2.305 -2.820 -0.200
3.917 -0.889 0.658
-2.128 1.406 4.707
ATOMIC_POSITIONS crystal
P 0.180 0.359 0.676
P 0.164 0.327 0.069
Au 0.458 0.916 0.480
Be 0.699 0.397 0.275
```

Summary:
Space-group type: Cm, No. 8
V in Å³ per cell: 67.0
M_tot in μB/f.u.: 0.0
ΔH_f (0 K) in meV per atom: -9
E_tot in eV/atom: -23.586

=====

(4)
The following is a DFT calculation (SCAN) of a PBEsol-optimized structure of BeP2Au. Values from VASP.

The structure in Quantum ESPRESSO input format:
```
&SYSTEM
  ibrav = 0, nat = 4, ntyp = 3
/
ATOMIC_SPECIES
Be 9.01 Be.upf
P 30.97 P.upf
Au 196.97 Au.upf
CELL_PARAMETERS angstrom
3.120 0.000 0.000
1.560 4.509 0.117
1.560 1.750 4.157
ATOMIC_POSITIONS crystal
Be 0.730 0.770 0.770
P 0.288 0.212 0.212
P 0.008 0.992 0.992
Au 0.474 0.526 0.526
```

Summary:
Space-group type: Imm2, No. 44
V in Å³ per cell: 57.8
M_tot in μB/f.u.: 0.0
ΔH_f (0 K) in meV per atom: 516
E_tot in eV/atom: -23.061